Entry 1:
{"formula": "La2CoN", "functional": "GGA-PBE", "state": "relaxed", "lattice": [[-5.8687, 2.0740, 2.3169], [0.1838, -4.7086, 4.6805], [-0.9297, 1.2707, 6.0271]], "species": ["N", "N", "Co", "Co", "La", "La", "La", "La"], "frac_coords": [[0.5000, 0.5000, 0.0000], [0.2500, 0.7500, 0.5000], [0.0000, 0.0000, 0.0000], [0.7500, 0.2500, 0.5000], [0.5874, 0.1250, 0.2500], [0.1626, 0.6250, 0.2500], [0.3750, 0.4126, 0.7500], [0.8750, 0.8374, 0.7500]], "mass_density_g_cm3": 6.45, "e_form_raw_ev_per_atom": -0.41}

***

Entry 2:
{"formula": "BaPbSeN2", "functional": "GGA-PBE", "state": "relaxed", "lattice": [[4.7158, 0.0000, 0.0000], [0.0000, 4.7158, 0.0000], [0.0000, 0.0000, 6.5496]], "species": ["Pb", "Ba", "Se", "N", "N"], "frac_coords": [[0.5000, 0.5000, 0.5000], [0.0000, 0.0000, 0.0000], [0.0000, 0.0000, 0.5000], [0.0000, 0.5000, 0.0000], [0.5000, 0.0000, 0.0000]], "mass_density_g_cm3": 5.15, "e_form_raw_ev_per_atom": 1.20, "e_above_lowest_polymorph_mev_per_atom": 656}

***

Entry 3:
{"formula": "In6GaF12", "functional": "GGA-PBE", "state": "relaxed", "lattice": [[6.9613, 0.1442, -1.5731], [-1.9983, 6.6699, -1.5731], [0.1050, 0.1442, 7.1361]], "species": ["In", "In", "In", "In", "In", "In", "Ga", "F", "F", "F", "F", "F", "F", "F", "F", "F", "F", "F", "F"], "frac_coords": [[0.1425, 0.2943, 0.5812], [0.7057, 0.4188, 0.8575], [0.4188, 0.8575, 0.7057], [0.8575, 0.7057, 0.4188], [0.2943, 0.5812, 0.1425], [0.5812, 0.1425, 0.2943], [0.0000, 0.0000, 0.0000], [0.4159, 0.1950, 0.5324], [0.1950, 0.5324, 0.4159], [0.5324, 0.4159, 0.1950], [0.5841, 0.8050, 0.4676], [0.8050, 0.4676, 0.5841], [0.4676, 0.5841, 0.8050], [0.9982, 0.9329, 0.7223], [0.2777, 0.0018, 0.0671], [0.0671, 0.2777, 0.0018], [0.0018, 0.0671, 0.2777], [0.7223, 0.9982, 0.9329], [0.9329, 0.7223, 0.9982]], "mass_density_g_cm3": 4.87, "e_form_raw_ev_per_atom": -2.00}

***

Number 1: E_tot -26.9 eV/f.u., Fermi-level density of states 0.0000 states/eV/atom. Number 2: E_tot -19.8 eV/f.u., Fermi-level density of states 0.7567 states/eV/atom. Number 3: E_tot -80.0 eV/f.u., Fermi-level density of states 0.3892 states/eV/atom.